Entry 1:
Density functional theory data (PBE-GGA) for an optimized crystal structure of La2AlAg2.

Properties
ΔE to the lowest computed polymorph: 0.15 eV per formula unit
energy of formation from the pure elements: -274 meV per atom

abc: 7.8239 7.8239 4.3145
angles: 90.00 90.00 90.00
Closest atoms and distances in Å follow each position.
Space group P4/mbm (No. 127)
One atom of each set of equivalent atoms:
La  0.1783  0.3217  0.0000 x4  6 Ag 3.04-3.25
Al  0.0000  0.0000  0.5000 x2  4 Ag 3.08
Ag  0.1281  0.6281  0.5000 x4  1 Ag 2.84, 2 La 3.04, 2 Al 3.08

Entry 2:
Density functional theory data (PBE-GGA) for an optimized crystal structure of La12Al3Ag.

Properties
energy of formation from the pure elements: -145 meV per atom

abc: 4.9735 4.9735 19.9971
angles: 90.00 90.00 90.00
Closest atoms and distances in Å follow each position.
Space group P4/mmm (No. 123)
One atom of each set of equivalent atoms:
La  0.0000  0.0000  0.0000 x1  4 Al 3.52, 8 La 3.52
La  0.0000  0.0000  0.2486 x2  8 La 3.49-3.51, 4 Al 3.52
La  0.0000  0.0000  0.5000 x1  4 Ag 3.52, 8 La 3.58
La  0.0000  0.5000  0.1248 x4  8 La 3.51-3.52, 4 Al 3.52-3.54
La  0.0000  0.5000  0.3712 x4  2 Al 3.46, 8 La 3.49-3.58, 2 Ag 3.58
Al  0.5000  0.5000  0.0000 x1  12 La 3.52
Al  0.5000  0.5000  0.2507 x2  12 La 3.46-3.54
Ag  0.5000  0.5000  0.5000 x1  12 La 3.52-3.58

Entry 3:
Density functional theory data (PBE-GGA) for an optimized crystal structure of La2AlAg.

Properties
energy of formation from the pure elements: -318 meV per atom

abc: 3.7384 3.7384 7.9301
angles: 90.00 90.00 90.00
Closest atoms and distances in Å follow each position.
Space group P4/mmm (No. 123)
One atom of each set of equivalent atoms:
La  0.0000  0.0000  0.2442 x2  4 Al 3.28, 4 Ag 3.33
Al  0.5000  0.5000  0.0000 x1  8 La 3.28
Ag  0.5000  0.5000  0.5000 x1  8 La 3.33

Entry 4:
Density functional theory data (PBE-GGA) for an optimized crystal structure of La3Al2Ag9.

Properties
energy of formation from the pure elements: -234 meV per atom

abc: 4.6904 9.9628 13.3294
angles: 90.00 90.00 90.00
Closest atoms and distances in Å follow each position.
Space group Immm (No. 71)
One atom of each set of equivalent atoms:
La  0.0000  0.0000  0.0000 x2  12 Ag 3.28-3.47
La  0.0000  0.0000  0.2991 x4  14 Ag 3.29-3.63, 2 Al 3.30
Al  0.0000  0.1941  0.5000 x4  6 Ag 2.70-2.90
Ag  0.0000  0.2823  0.1265 x8  4 Ag 2.75-2.94, 2 Al 2.90
Ag  0.0000  0.3600  0.3395 x8  1 Al 2.70, 4 Ag 2.78-2.94
Ag  0.0000  0.5000  0.0000 x2  4 Ag 2.75, 4 Al 3.04

Entry 5:
Density functional theory data (PBE-GGA) for an optimized crystal structure of La3AlAg.

Properties
ΔE to the lowest computed polymorph: 0.00 eV per formula unit
energy of formation from the pure elements: -240 meV per atom

abc: 5.3216 6.8369 8.5088
angles: 83.10 71.82 89.99
Closest atoms and distances in Å follow each position.
Space group P-1 (No. 2)
One atom of each set of equivalent atoms:
La  0.0241  0.2675  0.4528 x2  2 Al 3.14, 1 Ag 3.26, 1 La 3.36
La  0.2139  0.6335  0.0724 x2  4 Ag 3.29-3.55, 3 Al 3.45-3.46, 2 La 3.51
La  0.3942  0.0407  0.7106 x2  3 Ag 3.15-3.23, 1 Al 3.23, 1 La 3.52
Al  0.4150  0.5162  0.6692 x2  1 Al 2.77
Ag  0.2065  0.1122  0.0882 x2  7 La 3.15-3.35, 2 Ag 3.46-3.47

Entry 6:
Density functional theory data (PBE-GGA) for an optimized crystal structure of La2Al2Ag.

Properties
ΔE to the lowest computed polymorph: 0.00 eV per formula unit
energy of formation from the pure elements: -373 meV per atom

abc: 11.0054 4.7947 11.1414
angles: 90.00 117.62 90.00
Closest atoms and distances in Å follow each position.
Space group C2/m (No. 12)
One atom of each set of equivalent atoms:
La  0.0802  0.0000  0.3943 x4  6 Al 3.27-3.34, 1 La 3.54, 2 Ag 3.60
La  0.1824  0.5000  0.1782 x4  4 Ag 3.28-3.35, 7 Al 3.33-3.53
Al  0.0834  0.0000  0.9439 x4  1 Al 2.66, 3 Ag 2.72-2.89
Al  0.1244  0.5000  0.6109 x4  1 Al 2.71, 1 Ag 2.71
Ag  0.1306  0.5000  0.8569 x4  4 Al 2.71-2.89

Entry 7:
Density functional theory data (PBE-GGA) for an optimized crystal structure of La3Al9Ag2.

Properties
energy of formation from the pure elements: -403 meV per atom

abc: 4.4800 10.2028 13.0120
angles: 90.00 90.00 90.00
Closest atoms and distances in Å follow each position.
Space group Immm (No. 71)
One atom of each set of equivalent atoms:
La  0.0000  0.0000  0.0000 x2  12 Al 3.30-3.39, 4 Ag 3.65
La  0.0000  0.0000  0.3123 x4  10 Al 3.24-3.31, 2 Ag 3.30
Al  0.0000  0.2758  0.1319 x8  4 Al 2.71-2.86, 2 Ag 2.82
Al  0.0000  0.3683  0.3345 x8  1 Ag 2.65, 4 Al 2.69-2.80
Al  0.0000  0.5000  0.0000 x2  4 Al 2.86, 4 Ag 3.15
Ag  0.0000  0.2178  0.5000 x4  6 Al 2.65-2.82

Entry 8:
Density functional theory data (PBE-GGA) for an optimized crystal structure of La2AlAg.

Properties
energy of formation from the pure elements: -209 meV per atom

abc: 4.5670 4.5670 10.1644
angles: 90.00 90.00 90.00
Closest atoms and distances in Å follow each position.
Space group I-4m2 (No. 119)
One atom of each set of equivalent atoms:
La  0.0000  0.0000  0.0000 x2  4 Al 3.23, 4 La 3.42, 4 Ag 3.42
La  0.0000  0.5000  0.2500 x2  4 Ag 3.23, 4 La 3.42, 4 Al 3.42
Al  0.0000  0.0000  0.5000 x2  8 La 3.23-3.42, 4 Ag 3.42
Ag  0.0000  0.5000  0.7500 x2  8 La 3.23-3.42, 4 Al 3.42

Entry 9:
Density functional theory data (PBE-GGA) for an optimized crystal structure of LaAl5Ag2.

Properties
energy of formation from the pure elements: -253 meV per atom

abc: 4.1970 7.3793 10.2682
angles: 90.00 90.00 90.00
Closest atoms and distances in Å follow each position.
Space group Immm (No. 71)
One atom of each set of equivalent atoms:
La  0.0000  0.0000  0.0000 x2  4 Ag 3.32, 10 Al 3.43-3.69
Al  0.0000  0.1866  0.3616 x8  3 Ag 2.58-2.76, 4 Al 2.75-2.88
Al  0.0000  0.5000  0.0000 x2  2 Ag 2.56
Ag  0.0000  0.5000  0.2493 x4  7 Al 2.56-2.76

Entry 10:
Density functional theory data (PBE-GGA) for an optimized crystal structure of LaAlAg4.

Properties
ΔE to the lowest computed polymorph: 0.00 eV per formula unit
energy of formation from the pure elements: -166 meV per atom

abc: 7.9645 7.9645 7.9645
angles: 90.00 90.00 90.00
Closest atoms and distances in Å follow each position.
Space group F-43m (No. 216)
One atom of each set of equivalent atoms:
La  0.0000  0.0000  0.0000 x4  12 Ag 3.30, 4 Al 3.45
Al  0.2500  0.2500  0.2500 x4  12 Ag 3.30, 4 La 3.45
Ag  0.1244  0.1244  0.6244 x16  6 Ag 2.80-2.83

Entry 11:
Density functional theory data (PBE-GGA) for an optimized crystal structure of La2AlAg2.

Properties
ΔE to the lowest computed polymorph: 0.84 eV per formula unit
energy of formation from the pure elements: -137 meV per atom

abc: 3.8388 3.8388 18.4512
angles: 90.00 90.00 90.00
Closest atoms and distances in Å follow each position.
Space group I4/mmm (No. 139)
One atom of each set of equivalent atoms:
La  0.0000  0.0000  0.1031 x4  4 Al 3.32, 4 Ag 3.32
Al  0.0000  0.0000  0.5000 x2  8 La 3.32
Ag  0.0000  0.5000  0.2500 x4  4 Ag 2.71

Entry 12:
Density functional theory data (PBE-GGA) for an optimized crystal structure of LaAlAg.

Properties
energy of formation from the pure elements: -286 meV per atom

abc: 4.4346 4.4346 15.1260
angles: 90.00 90.00 90.00
Closest atoms and distances in Å follow each position.
Space group I4/mmm (No. 139)
One atom of each set of equivalent atoms:
La  0.0000  0.0000  0.1662 x4  5 Ag 3.26-3.43, 4 Al 3.35
Al  0.0000  0.5000  0.0000 x4  4 Ag 2.75
Ag  0.0000  0.0000  0.3928 x4  4 Al 2.75